1.
A plane-wave DFT calculation with GGA-PBE was carried out for VZnPd2 after structural relaxation.

The value obtained for the density of states at the Fermi level is 1.4015 states/eV/atom. Its formation energy from the elements is 0.133 eV per atom.

a b c (Å): 6.879 6.879 5.503
angles (deg): 90.00 90.00 90.00
Space group I-42d (No. 122)
Asymmetric unit:
V1 0.000 0.000 0.000 [4 per cell]
Zn1 0.000 0.000 0.500 [4 per cell]
Pd1 0.250 0.250 0.125 [8 per cell]

=====

2.
A plane-wave DFT calculation with GGA-PBE was carried out for CaPmYTl after structural relaxation.

The value obtained for the density of states at the Fermi level is 1.9269 states/eV/atom. Its formation energy from the elements is 0.022 eV per atom.

a b c (Å): 7.913 7.913 7.913
angles (deg): 90.00 90.00 90.00
Space group F-43m (No. 216)
Asymmetric unit:
Ca1 0.000 0.000 0.000 [4 per cell]
Pm1 0.250 0.250 0.250 [4 per cell]
Y1 0.000 0.000 0.500 [4 per cell]
Tl1 0.250 0.250 0.750 [4 per cell]

=====

3.
A plane-wave DFT calculation with GGA-PBE was carried out for YUPb2O6 after structural relaxation.

The value obtained for the formation energy from raw total energies is -2.48 eV/atom.

a b c (Å): 6.023 6.143 10.504
angles (deg): 90.00 124.89 90.00
Space group P2_1/c (No. 14)
Asymmetric unit:
Y1 0.000 0.000 0.000 [2 per cell]
U1 0.500 0.000 0.500 [2 per cell]
Pb1 0.243 0.028 0.749 [4 per cell]
O1 0.160 0.192 0.454 [4 per cell]
O2 0.261 0.708 0.451 [4 per cell]
O3 0.352 0.025 0.257 [4 per cell]

=====

4.
A plane-wave DFT calculation with GGA-PBE was carried out for MnHgTe2 after structural relaxation.

The value obtained for the formation energy from raw total energies is 0.19 eV/atom. The value obtained for the density of states at the Fermi level is 0.2703 states/eV/atom.

a b c (Å): 4.032 4.032 16.547
angles (deg): 90.00 90.00 90.00
Space group I-4m2 (No. 119)
Asymmetric unit:
Mn1 0.000 0.000 0.000 [2 per cell]
Hg1 0.000 0.500 0.250 [2 per cell]
Te1 0.000 0.000 0.500 [2 per cell]
Te2 0.000 0.500 0.750 [2 per cell]

=====

5.
A plane-wave DFT calculation with GGA-PBE was carried out for TiCrI2N after structural relaxation.

The value obtained for the formation energy from raw total energies is 0.14 eV/atom. The calculation puts the energy above the most stable polymorph in this dataset at 0.00 eV per formula unit. The value obtained for the density of states at the Fermi level is 0.5110 states/eV/atom.

a b c (Å): 5.719 5.719 3.768
angles (deg): 90.00 90.00 90.00
Space group P4/mmm (No. 123)
Asymmetric unit:
Ti1 0.000 0.000 0.000 [1 per cell]
Cr1 0.500 0.500 0.500 [1 per cell]
I1 0.000 0.500 0.000 [2 per cell]
N1 0.000 0.000 0.500 [1 per cell]

=====

6.
A plane-wave DFT calculation with GGA-PBE was carried out for Ti2InI after structural relaxation.

The value obtained for the formation energy from raw total energies is 0.51 eV/atom. The calculation puts the energy above the most stable polymorph in this dataset at 0.87 eV per formula unit. The value obtained for the density of states at the Fermi level is 1.5064 states/eV/atom.

a b c (Å): 4.348 4.348 19.885
angles (deg): 90.00 90.00 90.00
Space group I-42d (No. 122)
Asymmetric unit:
Ti1 0.242 0.250 0.125 [8 per cell]
In1 0.000 0.000 0.000 [4 per cell]
I1 0.000 0.000 0.500 [4 per cell]

=====

7.
A plane-wave DFT calculation with GGA-PBE was carried out for LaHf3I after structural relaxation.

The value obtained for the formation energy from raw total energies is 1.58 eV/atom. The calculation puts the energy above the most stable polymorph in this dataset at 3.74 eV per formula unit. The value obtained for the density of states at the Fermi level is 0.7291 states/eV/atom.

a b c (Å): 5.317 5.317 5.317
angles (deg): 90.00 90.00 90.00
Space group Pm-3m (No. 221)
Asymmetric unit:
La1 0.000 0.000 0.000 [1 per cell]
Hf1 0.000 0.000 0.500 [3 per cell]
I1 0.500 0.500 0.500 [1 per cell]

=====

8.
A plane-wave DFT calculation with GGA-PBE was carried out for InAgNO2 after structural relaxation.

The value obtained for the formation energy from raw total energies is 0.74 eV/atom. The value obtained for the density of states at the Fermi level is 0.5090 states/eV/atom.

a b c (Å): 4.205 4.205 4.028
angles (deg): 90.00 90.00 90.00
Space group P4/mmm (No. 123)
Asymmetric unit:
In1 0.000 0.000 0.000 [1 per cell]
Ag1 0.500 0.500 0.500 [1 per cell]
N1 0.500 0.500 0.000 [1 per cell]
O1 0.000 0.500 0.500 [2 per cell]

=====

9.
A plane-wave DFT calculation with GGA-PBE was carried out for FeSb4Au after structural relaxation.

The value obtained for the formation energy from raw total energies is 0.81 eV/atom. The calculation puts the energy above the most stable polymorph in this dataset at 5.06 eV per formula unit. The value obtained for the density of states at the Fermi level is 1.0041 states/eV/atom.

a b c (Å): 8.635 8.635 8.635
angles (deg): 90.00 90.00 90.00
Space group F-43m (No. 216)
Asymmetric unit:
Fe1 0.000 0.000 0.000 [4 per cell]
Sb1 0.125 0.125 0.625 [16 per cell]
Au1 0.250 0.250 0.250 [4 per cell]

=====

10.
A plane-wave DFT calculation with GGA-PBE was carried out for TbHg3Pd4 after structural relaxation.

The value obtained for the density of states at the Fermi level is 0.1364 states/eV/atom. Its formation energy from the elements is -0.444 eV per atom.

a b c (Å): 16.250 4.375 4.375
angles (deg): 90.00 105.52 90.00
Space group C2/m (No. 12)
Asymmetric unit:
Tb1 0.000 0.000 0.000 [2 per cell]
Hg1 0.000 0.500 0.500 [2 per cell]
Hg2 0.249 0.500 0.749 [4 per cell]
Pd1 0.125 0.000 0.625 [4 per cell]
Pd2 0.125 0.500 0.125 [4 per cell]

=====

11.
A plane-wave DFT calculation with GGA-PBE was carried out for KRhSe2 after structural relaxation.

The value obtained for the formation energy from raw total energies is -0.35 eV/atom. The value obtained for the density of states at the Fermi level is 0.6353 states/eV/atom.

a b c (Å): 3.381 3.659 15.140
angles (deg): 90.00 90.00 90.00
Space group Imm2 (No. 44)
Asymmetric unit:
K1 0.000 0.000 0.000 [2 per cell]
Rh1 0.000 0.500 0.748 [2 per cell]
Se1 0.000 0.000 0.364 [2 per cell]
Se2 0.000 0.500 0.178 [2 per cell]

=====

12.
A plane-wave DFT calculation with GGA-PBE was carried out for LaMo2Os after structural relaxation.

The calculation puts the energy above the most stable polymorph in this dataset at 1.69 eV per formula unit. The value obtained for the density of states at the Fermi level is 1.3848 states/eV/atom. Its formation energy from the elements is 0.777 eV per atom.

a b c (Å): 3.897 3.897 5.039
angles (deg): 90.00 90.00 90.00
Space group P4/mmm (No. 123)
Asymmetric unit:
La1 0.000 0.000 0.000 [1 per cell]
Mo1 0.000 0.500 0.500 [2 per cell]
Os1 0.500 0.500 0.000 [1 per cell]